The following is a DFT calculation (GGA-PBE) of an optimized crystal structure of CuSiW2.

Values from the calculation:
E_form (uncorrected): 0.221 eV per atom
Space group: P4/mmm (123)
Final energy: -0.3173 hartree per atom
N(E_F): 0.86 states/eV/atom

Cell lengths 4.543, 4.543, 2.731 Å; angles 90.00, 90.00, 90.00 degrees
Sites, in units of the cell vectors:
Si 0.000 0.500 0.500
W 0.500 0.500 0.000
W 0.000 0.000 0.000
Cu 0.500 0.000 0.500